(1)
Below is a relaxed Pm7Ge4C crystal, with properties calculated at the PBE level.

Lattice parameters (Å, degrees): 5.0484 9.2476 8.0067 76.42 71.62 74.16
Element x y z (fractional)
1 Pm 0.7914 0.8619 0.5554
2 Pm 0.2086 0.1381 0.4446
3 Pm 0.0729 0.7395 0.1147
4 Pm 0.9271 0.2605 0.8853
5 Pm 0.3606 0.5396 0.7391
6 Pm 0.5000 0.0000 0.0000
7 Pm 0.6394 0.4604 0.2609
8 Ge 0.5789 0.2241 0.6181
9 Ge 0.4211 0.7759 0.3819
10 Ge 0.7253 0.6579 0.8915
11 Ge 0.2747 0.3421 0.1085
12 C 0.0000 0.0000 0.0000

Results
SG: C2/m
Formation energy in eV per formula unit: -5.23
Raw total energy in eV/atom: -5.5145

=====

(2)
Below is a relaxed La3GeS6 crystal, with properties calculated at the PBE level.

Lattice parameters (Å, degrees): 6.8739 8.9375 8.9375 102.79 90.00 90.00
Element x y z (fractional)
1 La 0.4752 0.9141 0.7121
2 La 0.9752 0.7121 0.9141
3 La 0.4108 0.3963 0.6037
4 La 0.9108 0.6037 0.3963
5 La 0.9752 0.0859 0.2879
6 La 0.4752 0.2879 0.0859
7 Ge 0.0243 0.1950 0.8050
8 Ge 0.5243 0.8050 0.1950
9 S 0.1938 0.6803 0.6398
10 S 0.6938 0.6398 0.6803
11 S 0.1909 0.4249 0.9008
12 S 0.6909 0.9008 0.4249
13 S 0.1672 0.0379 0.9621
14 S 0.6634 0.2152 0.7848
15 S 0.1634 0.7848 0.2152
16 S 0.6672 0.9621 0.0379
17 S 0.1909 0.0992 0.5751
18 S 0.6909 0.5751 0.0992
19 S 0.1938 0.3602 0.3197
20 S 0.6938 0.3197 0.3602

Results
SG: Cmc2_1
Raw total energy in eV/atom: -6.1079
Raw formation energy in meV/atom: -1692